1.
Entry from Alexandria via LeMat-Bulk: a relaxed Tm2PuTlC crystal (PBE).

Properties
SG: P4/mmm
Calculated formation energy, eV/f.u.: -1.5

Unit cell a=4.731 b=4.897 c=4.897 alpha=90.00 beta=90.00 gamma=90.00
Fractional coordinates of all 5 atoms:
Tm (0.000, 0.500, 0.000)
Tm (0.000, 0.000, 0.500)
C (0.000, 0.000, 0.000)
Tl (0.500, 0.500, 0.500)
Pu (0.500, 0.000, 0.000)

---

2.
Entry from Alexandria via LeMat-Bulk: a relaxed TmPu2C crystal (PBE).

Properties
Polymorph energy (0 for the lowest one), kcal/mol of atoms: 9.81
SG: R-3m
Calculated formation energy, eV/f.u.: 2.6

Unit cell a=4.030 b=4.030 c=6.731 alpha=72.58 beta=72.58 gamma=60.00
Fractional coordinates of all 4 atoms:
Pu (0.349, 0.349, 0.953)
Tm (0.500, 0.500, 0.500)
C (0.000, 0.000, 0.000)
Pu (0.651, 0.651, 0.047)

---

3.
Entry from Alexandria via LeMat-Bulk: a relaxed TmPu2C crystal (PBE).

Properties
Polymorph energy (0 for the lowest one), kcal/mol of atoms: 0.00
SG: P4/mmm
Calculated formation energy, eV/f.u.: 0.9

Unit cell a=3.154 b=3.154 c=8.567 alpha=90.00 beta=90.00 gamma=90.00
Fractional coordinates of all 4 atoms:
Tm (0.500, 0.500, 0.500)
Pu (0.000, 0.000, 0.841)
Pu (0.000, 0.000, 0.159)
C (0.500, 0.500, 0.000)